Here is a relaxed CrPCl2 crystal from Alexandria via LeMat-Bulk. Energies are from PBE-GGA.

Calculated values
DFT total energy = -4.456 eV per atom

a = 3.1724 Å, b = 5.6748 Å, c = 4.1206 Å
α = 90.00°, β = 90.00°, γ = 90.00°
Last column: nearest neighbours and their distance in Å.
Atoms (fractional coordinates):
P1 0.0000 0.5000 0.5000  4 Cl 2.60
Cl1 0.0000 0.0000 0.0000  4 Cr 2.60
Cl2 0.5000 0.5000 0.0000  4 P 2.60
Cr1 0.5000 0.0000 0.5000  4 Cl 2.60